The following is a PBE-GGA calculation of a geometry-optimized TmZrOsRh structure, from Alexandria.

ΔE to the lowest computed polymorph: 28 meV/atom

Unit cell a=6.656 b=6.656 c=6.656 alpha=90.00 beta=90.00 gamma=90.00
Space group F-43m (No. 216)
Unique sites:
Tm (0.000, 0.000, 0.000) [4 per cell]
Zr (0.000, 0.000, 0.500) [4 per cell]
Os (0.250, 0.250, 0.750) [4 per cell]
Rh (0.250, 0.250, 0.250) [4 per cell]

***

The following is a PBE-GGA calculation of a geometry-optimized TmZrOsRh structure, from Alexandria.

ΔE to the lowest computed polymorph: 0 meV/atom

Unit cell a=3.339 b=3.339 c=6.642 alpha=90.00 beta=90.00 gamma=90.00
Space group P4mm (No. 99)
Unique sites:
Tm (0.000, 0.000, 0.000) [1 per cell]
Zr (0.000, 0.000, 0.503) [1 per cell]
Os (0.500, 0.500, 0.734) [1 per cell]
Rh (0.500, 0.500, 0.261) [1 per cell]

***

The following is a PBE-GGA calculation of a geometry-optimized UOsRh2 structure, from Alexandria.

ΔE to the lowest computed polymorph: 469 meV/atom

Unit cell a=4.5049 b=4.5049 c=11.5402 alpha=90.00 beta=90.00 gamma=120.00
Space group R-3m (No. 166, hexagonal axes)
Unique sites:
U (0.0000, 0.0000, 0.0000) [3 per cell]
Os (0.0000, 0.0000, 0.5000) [3 per cell]
Rh (0.0000, 0.0000, 0.2679) [6 per cell]

***

The following is a PBE-GGA calculation of a geometry-optimized UOs2Rh structure, from Alexandria.

Unit cell a=4.042 b=4.042 c=3.985 alpha=90.00 beta=90.00 gamma=90.00
Space group P4/mmm (No. 123)
Unique sites:
U (0.000, 0.000, 0.000) [1 per cell]
Os (0.000, 0.500, 0.500) [2 per cell]
Rh (0.500, 0.500, 0.000) [1 per cell]

***

| no. | calculated total energy (eV per cell) | V (Å³/atom) |
| --- | --- | --- |
| 1 | -136.78 | 18.428 |
| 2 | -34.31 | 18.512 |
| 3 | -111.80 | 16.902 |
| 4 | -42.41 | 16.281 |